VASP calculation (GGA-PBE) on Ti3TlCu after structural relaxation.

Geometry as extended XYZ:
```
5
Lattice="-4.121 -0.151 3.022 2.074 -3.858 2.636 2.203 3.351 3.171" Properties=species:S:1:pos:R:3 pbc="T T T"
Ti 1.037 -1.929 1.318
Cu 0.078 -0.329 4.415
Tl 0.000 0.000 0.000
Ti -2.061 -0.075 1.511
Ti 1.101 1.675 1.586
```

## Properties
- offset from the most stable computed form (eV per atom) = 1.046
- space-group type = No. 221
- energy relative to the elements (eV per atom) = 1.500